Record 1
Crystalline BeSi2P at its relaxed geometry. Source: Alexandria via LeMat-Bulk, functional PBE-GGA. Values from VASP.

Values from the calculation:
DOS(E_F): 1.2 states/eV/cell
formation energy from raw total energies: 0.358 eV/atom

Cell and atoms, written as Quantum ESPRESSO input:
```
&SYSTEM
  ibrav = 0, nat = 4, ntyp = 3
/
ATOMIC_SPECIES
Be 9.01 Be.upf
Si 28.09 Si.upf
P 30.97 P.upf
CELL_PARAMETERS angstrom
3.374 -0.013 -0.005
1.661 2.937 -0.005
1.694 0.983 5.667
ATOMIC_POSITIONS angstrom
Be 5.047 2.930 4.243
Si 3.363 1.952 2.912
Si 1.696 0.985 5.583
P 1.682 0.977 1.414
```

---

Record 2
Crystalline Be2SiP at its relaxed geometry. Source: Alexandria via LeMat-Bulk, functional PBE-GGA. Values from VASP.

Values from the calculation:
DOS(E_F): 0.7 states/eV/cell
formation energy from raw total energies: 0.357 eV/atom

Cell and atoms, written as Quantum ESPRESSO input:
```
&SYSTEM
  ibrav = 0, nat = 4, ntyp = 3
/
ATOMIC_SPECIES
P 30.97 P.upf
Be 9.01 Be.upf
Si 28.09 Si.upf
CELL_PARAMETERS angstrom
-2.807 0.754 -1.128
0.641 -1.548 -2.629
-1.905 -4.139 1.973
ATOMIC_POSITIONS angstrom
P -0.792 -1.721 0.820
Be -1.678 -1.690 -1.262
Be -1.871 -4.067 1.938
Si -2.587 -3.665 -0.321
```

---

Record 3
Crystalline BeSi2P at its relaxed geometry. Source: Alexandria via LeMat-Bulk, functional PBE-GGA. Values from VASP.

Values from the calculation:
DOS(E_F): 1.9 states/eV/cell
formation energy from raw total energies: 0.565 eV/atom

Cell and atoms, written as Quantum ESPRESSO input:
```
&SYSTEM
  ibrav = 0, nat = 4, ntyp = 3
/
ATOMIC_SPECIES
P 30.97 P.upf
Be 9.01 Be.upf
Si 28.09 Si.upf
CELL_PARAMETERS angstrom
-1.940 3.247 -1.301
-3.256 -2.220 -0.688
-1.050 0.595 3.051
ATOMIC_POSITIONS angstrom
P -2.153 -0.813 1.182
Be -1.495 1.921 0.875
Si -2.598 0.514 -0.994
Si 0.000 0.000 0.000
```

---

Ordered E above lowest polymorph results: 223.1 329.5 430.7; unit meV/atom.